The following is a PBE calculation of CeVI6 after structural relaxation, from the Alexandria database.

## Properties
- Total energy: -3.962 eV/atom
- N(E_F): 1.14 states/eV/atom
- Magnetic moment: 3.00 μB/f.u.

Cell lengths 7.793, 13.535, 7.203 Å; angles 90.00, 90.82, 90.00 degrees
Space group C2/m (No. 12)
Inequivalent atoms, fractional coordinates:
Ce (0.000, 0.000, 0.000) x2
V (0.000, 0.000, 0.500) x2
I (0.149, 0.149, 0.280) x8
I (0.202, 0.500, 0.273) x4

---

The following is a PBE calculation of DyEr4In after structural relaxation, from the Alexandria database.

## Properties
- Total energy: -4.394 eV/atom
- N(E_F): 1.08 states/eV/atom
- Polymorph energy (0 for the lowest one): 21 meV per atom
- Magnetic moment: 0.00 μB/f.u.
- ΔE_f: -0.129 eV per atom

Cell lengths 5.346, 12.045, 10.984 Å; angles 90.00, 90.00, 90.00 degrees
Space group Cmc2_1 (No. 36)
Inequivalent atoms, fractional coordinates:
Dy (0.000, 0.178, 0.000) x4
Er (0.000, 0.020, 0.282) x4
Er (0.000, 0.177, 0.563) x4
Er (0.000, 0.321, 0.282) x4
Er (0.000, 0.499, 0.030) x4
In (0.000, 0.348, 0.779) x4

---

The following is a PBE calculation of LiAl3 after structural relaxation, from the Alexandria database.

## Properties
- Total energy: -2.550 eV/atom
- N(E_F): 0.13 states/eV/atom
- Magnetic moment: 0.00 μB/f.u.
- ΔE_f: 0.736 eV per atom

Cell lengths 4.505, 4.505, 4.505 Å; angles 90.00, 90.00, 90.00 degrees
Space group Pm-3m (No. 221)
Inequivalent atoms, fractional coordinates:
Li (0.000, 0.000, 0.000) x1
Al (0.000, 0.000, 0.500) x3

---

The following is a PBE calculation of CrCd after structural relaxation, from the Alexandria database.

## Properties
- Total energy: -4.694 eV/atom
- N(E_F): 0.58 states/eV/atom
- Magnetic moment: 4.04 μB/f.u.
- ΔE_f: 0.576 eV per atom

Cell lengths 10.530, 3.120, 4.969 Å; angles 90.00, 110.46, 90.00 degrees
Space group C2/m (No. 12)
Inequivalent atoms, fractional coordinates:
Cr (0.123, 0.000, 0.308) x4
Cd (0.123, 0.500, 0.808) x4

---

The following is a PBE calculation of Na2PPdSe4 after structural relaxation, from the Alexandria database.

## Properties
- Total energy: -3.905 eV/atom
- N(E_F): 0.45 states/eV/atom
- Magnetic moment: 0.79 μB/f.u.

Cell lengths 6.338, 6.339, 6.340 Å; angles 110.17, 109.13, 109.10 degrees
Space group P1 (No. 1)
Inequivalent atoms, fractional coordinates:
Na (0.000, 0.000, 0.000) x1
Na (0.499, 0.250, 0.749) x1
P (0.000, 0.500, 0.499) x1
Pd (0.499, 0.751, 0.250) x1
Se (0.043, 0.527, 0.167) x1
Se (0.359, 0.832, 0.875) x1
Se (0.640, 0.517, 0.472) x1
Se (0.956, 0.124, 0.483) x1

---

The following is a PBE calculation of Cr3C after structural relaxation, from the Alexandria database.

## Properties
- Total energy: -9.089 eV/atom
- N(E_F): 1.09 states/eV/atom
- Polymorph energy (0 for the lowest one): 528 meV per atom
- Magnetic moment: 0.00 μB/f.u.
- ΔE_f: 0.435 eV per atom

Cell lengths 2.820, 2.820, 4.952 Å; angles 90.00, 90.00, 90.00 degrees
Space group P4/mmm (No. 123)
Inequivalent atoms, fractional coordinates:
Cr (0.000, 0.000, 0.000) x1
Cr (0.500, 0.500, 0.285) x2
C (0.000, 0.000, 0.500) x1

---

The following is a PBE calculation of Nb3AuN after structural relaxation, from the Alexandria database.

## Properties
- Total energy: -8.551 eV/atom
- N(E_F): 0.93 states/eV/atom
- Magnetic moment: 0.00 μB/f.u.

Cell lengths 3.123, 7.851, 6.755 Å; angles 90.00, 90.00, 90.00 degrees
Space group Amm2 (No. 38)
Inequivalent atoms, fractional coordinates:
Nb (0.000, 0.000, 0.000) x2
Nb (0.500, 0.250, 0.241) x4
Au (0.000, 0.000, 0.438) x2
N (0.500, 0.000, 0.782) x2

---

The following is a PBE calculation of ErZrBe2 after structural relaxation, from the Alexandria database.

## Properties
- Total energy: -5.148 eV/atom
- N(E_F): 0.54 states/eV/atom
- Polymorph energy (0 for the lowest one): 0 meV per atom
- Magnetic moment: 0.00 μB/f.u.
- ΔE_f: -0.007 eV per atom

Cell lengths 3.270, 3.270, 6.495 Å; angles 90.00, 90.00, 90.00 degrees
Space group P4/mmm (No. 123)
Inequivalent atoms, fractional coordinates:
Er (0.000, 0.000, 0.000) x1
Zr (0.000, 0.000, 0.500) x1
Be (0.500, 0.500, 0.278) x2

---

The following is a PBE calculation of Tl2CrAu after structural relaxation, from the Alexandria database.

## Properties
- Total energy: -4.087 eV/atom
- N(E_F): 0.60 states/eV/atom
- Polymorph energy (0 for the lowest one): 73 meV per atom
- Magnetic moment: 4.23 μB/f.u.
- ΔE_f: 0.321 eV per atom

Cell lengths 11.519, 3.242, 5.179 Å; angles 90.00, 109.13, 90.00 degrees
Space group Cm (No. 8)
Inequivalent atoms, fractional coordinates:
Tl (0.000, 0.000, 0.000) x2
Tl (0.207, 0.000, 0.647) x2
Cr (0.247, 0.500, 0.166) x2
Au (0.437, 0.000, 0.454) x2

---

The following is a PBE calculation of CoSn3 after structural relaxation, from the Alexandria database.

## Properties
- Total energy: -4.768 eV/atom
- N(E_F): 0.64 states/eV/atom
- Magnetic moment: 0.00 μB/f.u.
- ΔE_f: 0.010 eV per atom

Cell lengths 5.285, 4.589, 7.365 Å; angles 90.00, 92.61, 90.00 degrees
Space group P2_1/m (No. 11)
Inequivalent atoms, fractional coordinates:
Co (0.155, 0.250, 0.085) x2
Sn (0.013, 0.750, 0.262) x2
Sn (0.341, 0.750, 0.917) x2
Sn (0.345, 0.250, 0.433) x2

---

The following is a PBE calculation of NaCuAu after structural relaxation, from the Alexandria database.

## Properties
- Total energy: -2.895 eV/atom
- N(E_F): 0.38 states/eV/atom
- Polymorph energy (0 for the lowest one): 45 meV per atom
- Magnetic moment: 0.00 μB/f.u.
- ΔE_f: 0.003 eV per atom

Cell lengths 4.4755, 4.4755, 3.3514 Å; angles 90.00, 90.00, 120.00 degrees
Space group P-6m2 (No. 187)
Inequivalent atoms, fractional coordinates:
Na (0.0000, 0.0000, 0.0000) x1
Cu (0.3333, 0.6667, 0.5000) x1
Au (0.6667, 0.3333, 0.5000) x1

---

The following is a PBE calculation of K2AlMo after structural relaxation, from the Alexandria database.

## Properties
- Total energy: -3.048 eV/atom
- N(E_F): 1.03 states/eV/atom
- Magnetic moment: 0.00 μB/f.u.
- ΔE_f: 1.144 eV per atom

Cell lengths 5.734, 12.019, 2.857 Å; angles 90.00, 90.00, 90.00 degrees
Space group Cmmm (No. 65)
Inequivalent atoms, fractional coordinates:
K (0.250, 0.250, 0.000) x4
Al (0.000, 0.000, 0.500) x2
Mo (0.000, 0.500, 0.500) x2